No. 1
Compound: Pu2NpPa
Source: the Alexandria database
Functional: PBE
Structure: relaxed

a b c (Å): 3.3022 3.3022 8.0679
angles (deg): 90.00 90.00 90.00
Last column: nearest neighbours and their distance in Å.
Sites, in units of the cell vectors:
Np  0.5000  0.5000  0.0000  8 Pu 3.03, 4 Np 3.30
Pu  0.0000  0.0000  0.2388  4 Np 3.03, 4 Pa 3.15, 4 Pu 3.30
Pu  0.0000  0.0000  0.7612  4 Np 3.03, 4 Pa 3.15, 4 Pu 3.30
Pa  0.5000  0.5000  0.5000  8 Pu 3.15, 4 Pa 3.30

DFT formation energy in kcal/mol of atoms: 5.8
Energy above the most stable polymorph in this dataset in meV per atom: 0
VASP energy in eV/atom: -12.525
Magnetic moment in μB/f.u.: 5.7

No. 2
Compound: Pu2NpPa
Source: the Alexandria database
Functional: PBE
Structure: relaxed

a b c (Å): 3.7838 3.7838 7.5966
angles (deg): 75.58 75.58 60.00
Last column: nearest neighbours and their distance in Å.
Sites, in units of the cell vectors:
Pa  0.0000  0.0000  0.0000  2 Pu 2.51
Pu  0.8851  0.8851  0.3447  3 Np 2.46, 1 Pa 2.51
Pu  0.1149  0.1149  0.6553  3 Np 2.46, 1 Pa 2.51
Np  0.5000  0.5000  0.5000  6 Pu 2.46

DFT formation energy in kcal/mol of atoms: 13.4
Energy above the most stable polymorph in this dataset in meV per atom: 332
VASP energy in eV/atom: -12.193
Magnetic moment in μB/f.u.: 0.0

No. 3
Compound: PuNpPaRe
Source: the Alexandria database
Functional: PBE
Structure: relaxed

a b c (Å): 4.8313 4.8313 4.8313
angles (deg): 60.00 60.00 60.00
Last column: nearest neighbours and their distance in Å.
Sites, in units of the cell vectors:
Np  0.2500  0.2500  0.2500  4 Pa 2.96, 4 Pu 2.96
Pa  0.0000  0.0000  0.0000  4 Re 2.96, 4 Np 2.96
Pu  0.5000  0.5000  0.5000  4 Np 2.96, 4 Re 2.96
Re  0.7500  0.7500  0.7500  4 Pa 2.96, 4 Pu 2.96

DFT formation energy in kcal/mol of atoms: 4.2
VASP energy in eV/atom: -12.120
Magnetic moment in μB/f.u.: 1.4

No. 4
Compound: PuNpPaRh
Source: the Alexandria database
Functional: PBE
Structure: relaxed

a b c (Å): 4.8067 4.8067 4.8067
angles (deg): 60.00 60.00 60.00
Last column: nearest neighbours and their distance in Å.
Sites, in units of the cell vectors:
Pu  0.7500  0.7500  0.7500  4 Np 2.94, 4 Rh 2.94
Np  0.5000  0.5000  0.5000  4 Pa 2.94, 4 Pu 2.94
Rh  0.0000  0.0000  0.0000  4 Pa 2.94, 4 Pu 2.94
Pa  0.2500  0.2500  0.2500  4 Rh 2.94, 4 Np 2.94

DFT formation energy in kcal/mol of atoms: -3.0
VASP energy in eV/atom: -11.158
Magnetic moment in μB/f.u.: 1.9

Q: Look up the VASP energy of the first one.
A: -12.525 eV/atom

Q: Which value of VASP energy does entry 3 give?
A: -12.120 eV/atom